Record 1
ThGa2Ir: relaxed, PBE.

Unit cell a=4.401 b=4.552 c=4.420 alpha=90.00 beta=105.63 gamma=90.00
Fractional coordinates of all 4 atoms:
Th: 0.000 0.000 0.000
Ga: 0.320 0.500 0.684
Ga: 0.680 0.500 0.316
Ir: 0.500 0.000 0.500

Calculated values
- SG = P2/m
- raw total energy (eV/cell) = -24.9



Record 2
Th3Ga6Ir5: relaxed, PBE.

Unit cell a=4.237 b=12.945 c=9.585 alpha=90.00 beta=90.00 gamma=90.00
Fractional coordinates of all 28 atoms:
Th: 0.250 0.053 0.249
Th: 0.250 0.447 0.249
Th: 0.250 0.750 0.267
Th: 0.750 0.250 0.733
Th: 0.750 0.553 0.751
Th: 0.750 0.947 0.751
Ga: 0.250 0.069 0.584
Ga: 0.250 0.250 0.034
Ga: 0.250 0.250 0.419
Ga: 0.250 0.431 0.584
Ga: 0.250 0.600 0.984
Ga: 0.250 0.900 0.984
Ga: 0.750 0.100 0.016
Ga: 0.750 0.400 0.016
Ga: 0.750 0.569 0.416
Ga: 0.750 0.750 0.581
Ga: 0.750 0.750 0.966
Ga: 0.750 0.931 0.416
Ir: 0.250 0.095 0.859
Ir: 0.250 0.405 0.859
Ir: 0.250 0.638 0.544
Ir: 0.250 0.750 0.797
Ir: 0.250 0.862 0.544
Ir: 0.750 0.138 0.456
Ir: 0.750 0.250 0.203
Ir: 0.750 0.362 0.456
Ir: 0.750 0.595 0.141
Ir: 0.750 0.905 0.141

Calculated values
- SG = Pmmn
- raw total energy (eV/cell) = -190.6



Record 3
ThGa8Ir2: relaxed, PBE.

Unit cell a=5.851 b=5.851 c=7.610 alpha=90.00 beta=90.00 gamma=90.00
Fractional coordinates of all 11 atoms:
Th: 0.000 0.000 0.000
Ga: 0.256 0.256 0.300
Ga: 0.256 0.256 0.700
Ga: 0.256 0.744 0.300
Ga: 0.256 0.744 0.700
Ga: 0.744 0.256 0.300
Ga: 0.744 0.256 0.700
Ga: 0.744 0.744 0.300
Ga: 0.744 0.744 0.700
Ir: 0.000 0.500 0.500
Ir: 0.500 0.000 0.500

Calculated values
- SG = P4/mmm
- raw total energy (eV/cell) = -49.5



Record 4
Th2GaIr: relaxed, PBE.

Unit cell a=4.060 b=4.060 c=28.522 alpha=90.00 beta=90.00 gamma=120.00
Fractional coordinates of all 12 atoms:
Th: 0.000 0.000 0.111
Th: 0.000 0.000 0.889
Th: 0.333 0.667 0.556
Th: 0.333 0.667 0.777
Th: 0.667 0.333 0.223
Th: 0.667 0.333 0.444
Ga: 0.000 0.000 0.000
Ga: 0.333 0.667 0.667
Ga: 0.667 0.333 0.333
Ir: 0.000 0.000 0.500
Ir: 0.333 0.667 0.167
Ir: 0.667 0.333 0.833

Calculated values
- SG = R-3m
- raw total energy (eV/cell) = -82.4



Question: Look up the raw total energy of the fourth one.
Answer: -82.4 eV/cell



Question: raw total energy of number 4 (Th2GaIr)?
Answer: -82.4 eV/cell



Question: The highest raw total energy belongs to which entry?
Answer: ThGa2Ir